SmTmTi4: optimized geometry, GGA-PBE.

Computed properties:
DOS(E_F): 8.09 states/eV per cell
energy relative to the elements: 0.262 eV per atom
magnetization: 9.46 μB per formula unit
mass density: 6.09 g/cm3

Geometry as CIF:
```
data_SmTmTi4
_symmetry_space_group_name_H-M 'P 1'
_symmetry_Int_Tables_number 1
_symmetry_space_group_name_Hall 'P 1'
_cell_length_a 5.819
_cell_length_b 5.819
_cell_length_c 5.819
_cell_angle_alpha 60.00
_cell_angle_beta 60.00
_cell_angle_gamma 60.00
loop_
_atom_site_label
_atom_site_type_symbol
_atom_site_fract_x
_atom_site_fract_y
_atom_site_fract_z
Sm1 Sm 0.000 0.000 0.000
Tm1 Tm 0.750 0.750 0.750
Ti1 Ti 0.376 0.376 0.376
Ti2 Ti 0.376 0.376 0.872
Ti3 Ti 0.376 0.872 0.376
Ti4 Ti 0.872 0.376 0.376
```